#P
This record from Alexandria via LeMat-Bulk describes crystalline TaMn2Ru at its relaxed geometry. The functional is GGA-PBE.

Cell lengths 4.290, 4.290, 4.290 Å; angles 60.00, 60.00, 60.00 degrees
Sites, in units of the cell vectors:
Ru1 0.000 0.000 0.000
Ta1 0.500 0.500 0.500
Mn1 0.250 0.250 0.250
Mn2 0.750 0.750 0.750

Values from the calculation:
space-group type = No. 225
size of the total moment = 3.9 Bohr magnetons per cell
DOS at the Fermi energy = 7.4 states/eV/cell

#Q
This record from Alexandria via LeMat-Bulk describes crystalline TaMn2Ru at its relaxed geometry. The functional is GGA-PBE.

Cell lengths 6.830, 6.830, 5.491 Å; angles 51.55, 51.55, 90.00 degrees
Sites, in units of the cell vectors:
Mn1 0.375 0.393 0.750
Ta1 0.000 0.000 0.000
Mn2 0.875 0.857 0.750
Mn3 0.143 0.625 0.250
Mn4 0.607 0.125 0.250
Ta2 0.750 0.250 0.500
Ru1 0.500 0.500 0.000
Ru2 0.250 0.750 0.500

Values from the calculation:
space-group type = No. 122
size of the total moment = 9.4 Bohr magnetons per cell
DOS at the Fermi energy = 8.0 states/eV/cell

Q: What are the energies relative to the best structure? A: #P 0.0; #Q 44.2, in kJ/mol of atoms.